Entry from Alexandria via LeMat-Bulk: an optimized crystal structure of NiIN3 (PBE).

Crystal system: cubic
Space group: Pm-3m (221)
Volume (Å³/cell): 61.2
Formation energy from raw total energies (meV per atom): 2554

```
5
Lattice="3.9416 0.0000 0.0000 0.0000 3.9416 0.0000 0.0000 0.0000 3.9416" Properties=species:S:1:pos:R:3 pbc="T T T"
Ni 0.0000 0.0000 0.0000
I 1.9708 1.9708 1.9708
N 0.0000 1.9708 1.9708
N 1.9708 0.0000 1.9708
N 1.9708 1.9708 0.0000
```